A relaxed YFeRh2 crystal. Source: Alexandria, functional PBE.

abc: 3.3452 3.3452 6.1833
angles: 90.00 90.00 90.00
Last column: nearest neighbours and their distance in Å.
Fractional coordinates of all 4 atoms:
Rh: 0.5000 0.5000 0.2313  1 Fe 2.55, 4 Y 2.84
Fe: 0.5000 0.5000 0.8193  5 Rh 2.53-2.55
Rh: 0.0000 0.0000 0.9636  4 Fe 2.53
Y: 0.0000 0.0000 0.4858  5 Rh 2.84-2.95, 4 Fe 3.14

Properties
Energy, eV/atom: -7.5155